NpBi2MoO8 | GGA+U | optimized geometry

Values from the calculation:
E_tot: -7.444 eV/atom
Calculated volume: 183 Å³/f.u.

abc: 5.1756 6.8293 5.1781
angles: 90.00 91.10 90.00
Sites, in units of the cell vectors:
1 Np 0.0000 0.0000 0.0000
2 Bi 0.5000 0.2612 0.5000
3 Bi 0.5000 0.7388 0.5000
4 Mo 0.0000 0.5000 0.0000
5 O 0.1766 0.2536 0.8247
6 O 0.1766 0.7464 0.8247
7 O 0.2726 0.0000 0.2746
8 O 0.2829 0.5000 0.2838
9 O 0.7171 0.5000 0.7162
10 O 0.7274 0.0000 0.7254
11 O 0.8234 0.2536 0.1753
12 O 0.8234 0.7464 0.1753